Entry i
VASP calculation (GGA-PBE) on an optimized crystal structure of KHf3Ir.

Summary:
Magnetic moment: 0.00 μB per formula unit
Fermi-level density of states: 4.8 states/eV/cell
Space group: No. 221

Lattice parameters (Å, degrees): 4.6854 4.6854 4.6854 90.00 90.00 90.00
Last column: nearest neighbours and their distance in Å.
Fractional positions:
K: 0.0000 0.0000 0.0000  6 Hf 2.34
Hf: 0.0000 0.0000 0.5000  2 K 2.34
Hf: 0.0000 0.5000 0.0000  2 K 2.34
Hf: 0.5000 0.0000 0.0000  2 K 2.34
Ir: 0.5000 0.5000 0.5000  12 Hf 3.31

Entry ii
VASP calculation (GGA-PBE) on an optimized crystal structure of KHf3Ir.

Summary:
Magnetic moment: 0.00 μB per formula unit
Fermi-level density of states: 7.3 states/eV/cell
Space group: No. 221

Lattice parameters (Å, degrees): 5.1659 5.1659 5.1659 90.00 90.00 90.00
Last column: nearest neighbours and their distance in Å.
Fractional positions:
K: 0.0000 0.0000 0.0000  12 Hf 3.65
Hf: 0.0000 0.5000 0.5000  2 Ir 2.58
Hf: 0.5000 0.0000 0.5000  2 Ir 2.58
Hf: 0.5000 0.5000 0.0000  2 Ir 2.58
Ir: 0.5000 0.5000 0.5000  6 Hf 2.58

What should be chosen as the most stable of them? Choose entry ii.